(1)
A relaxed TaSnO3 crystal, computed with PBE.

Values from the calculation:
VASP energy: -80.838 eV per cell
magnetic moment: 0.0004 μB/atom

a b c (Å): 5.6925 5.6925 5.6925
angles (deg): 60.25 60.25 60.25
With the nearest neighbours (Å) after each atom.
Element x y z (fractional)
Ta 0.0000 0.0000 0.0000  6 O 2.03
Ta 0.5000 0.5000 0.5000  6 O 2.03
Sn 0.2500 0.2500 0.2500  9 O 2.67-2.85
Sn 0.7500 0.7500 0.7500  9 O 2.67-2.85
O 0.2164 0.7500 0.2836  2 Ta 2.03
O 0.2500 0.7164 0.7836  2 Ta 2.03
O 0.2836 0.2164 0.7500  2 Ta 2.03
O 0.7164 0.7836 0.2500  2 Ta 2.03
O 0.7500 0.2836 0.2164  2 Ta 2.03
O 0.7836 0.2500 0.7164  2 Ta 2.03

(2)
A relaxed Ta2SnO6 crystal, computed with PBE.

Values from the calculation:
VASP energy: -79.447 eV per cell
magnetic moment: 0.0001 μB/atom

a b c (Å): 5.3904 5.3904 7.2913
angles (deg): 114.30 114.30 41.71
With the nearest neighbours (Å) after each atom.
Element x y z (fractional)
Ta 0.1771 0.1771 0.1227  4 O 1.84-2.00
Ta 0.8229 0.8229 0.8773  4 O 1.84-2.00
Sn 0.0000 0.0000 0.5000  6 O 2.39-2.47
O 0.0134 0.0134 0.1809  1 Ta 1.88
O 0.2972 0.2972 0.9324  3 Ta 2.00-2.21
O 0.3292 0.3292 0.3824  1 Ta 1.84
O 0.6708 0.6708 0.6176  1 Ta 1.84
O 0.7028 0.7028 0.0676  3 Ta 2.00-2.21
O 0.9866 0.9866 0.8191  1 Ta 1.88